Here is a relaxed NpMnPdRh crystal from Alexandria. Energies are from PBE-GGA.

Geometry as POSCAR:
```
NpMnPdRh
1.0
6.602 0.000 0.000
0.000 6.602 0.000
0.000 0.000 6.602
Np Mn Pd Rh
4 4 4 4
direct
0.000 0.000 0.000 Np
0.000 0.500 0.500 Np
0.500 0.000 0.500 Np
0.500 0.500 0.000 Np
0.000 0.000 0.500 Mn
0.000 0.500 0.000 Mn
0.500 0.000 0.000 Mn
0.500 0.500 0.500 Mn
0.250 0.250 0.750 Pd
0.250 0.750 0.250 Pd
0.750 0.250 0.250 Pd
0.750 0.750 0.750 Pd
0.250 0.250 0.250 Rh
0.250 0.750 0.750 Rh
0.750 0.250 0.750 Rh
0.750 0.750 0.250 Rh
```

## Properties
As for the crystal system: cubic. Its total energy is -139.78 eV per cell. Its formation energy is -0.29 eV per formula unit. Its space group is F-43m, No. 216.

=====

Here is a relaxed Pm2NpMnS6 crystal from Alexandria. Energies are from PBE-GGA.

Geometry as POSCAR:
```
Pm2NpMnS6
1.0
6.535 0.000 0.000
0.000 7.183 0.000
-6.064 0.000 9.696
Pm Np Mn S
4 2 2 12
direct
0.201 0.098 0.242 Pm
0.201 0.402 0.742 Pm
0.799 0.598 0.258 Pm
0.799 0.902 0.758 Pm
0.500 0.000 0.000 Np
0.500 0.500 0.500 Np
0.000 0.000 0.500 Mn
0.000 0.500 0.000 Mn
0.106 0.192 0.935 S
0.106 0.308 0.435 S
0.244 0.681 0.931 S
0.244 0.819 0.431 S
0.379 0.045 0.740 S
0.379 0.455 0.240 S
0.621 0.545 0.760 S
0.621 0.955 0.260 S
0.756 0.181 0.569 S
0.756 0.319 0.069 S
0.894 0.692 0.565 S
0.894 0.808 0.065 S
```

## Properties
As for the crystal system: monoclinic. For the formation energy from raw total energies, the calculation gives -1508 meV/atom. Its total energy is -142.92 eV per cell. Its space group is P2_1/c, No. 14.

=====

Here is a relaxed PmNpMnSb crystal from Alexandria. Energies are from PBE-GGA.

Geometry as POSCAR:
```
PmNpMnSb
1.0
7.222 0.000 0.000
0.000 7.222 0.000
0.000 0.000 7.222
Pm Np Mn Sb
4 4 4 4
direct
0.000 0.000 0.000 Pm
0.000 0.500 0.500 Pm
0.500 0.000 0.500 Pm
0.500 0.500 0.000 Pm
0.250 0.250 0.750 Np
0.250 0.750 0.250 Np
0.750 0.250 0.250 Np
0.750 0.750 0.750 Np
0.250 0.250 0.250 Mn
0.250 0.750 0.750 Mn
0.750 0.250 0.750 Mn
0.750 0.750 0.250 Mn
0.000 0.000 0.500 Sb
0.000 0.500 0.000 Sb
0.500 0.000 0.000 Sb
0.500 0.500 0.500 Sb
```

## Properties
As for the crystal system: cubic. For the formation energy from raw total energies, the calculation gives 451 meV/atom. Its total energy is -116.72 eV per cell. Its space group is F-43m, No. 216.

=====

Here is a relaxed PrNpMn crystal from Alexandria. Energies are from PBE-GGA.

Geometry as POSCAR:
```
PrNpMn
1.0
6.262 0.000 0.000
0.000 5.817 0.000
-2.658 0.000 7.504
Pr Np Mn
4 4 4
direct
0.068 0.234 0.392 Pr
0.068 0.266 0.892 Pr
0.932 0.734 0.108 Pr
0.932 0.766 0.608 Pr
0.487 0.557 0.699 Np
0.487 0.943 0.199 Np
0.513 0.057 0.801 Np
0.513 0.443 0.301 Np
0.383 0.703 0.980 Mn
0.383 0.797 0.480 Mn
0.617 0.203 0.520 Mn
0.617 0.297 0.020 Mn
```

## Properties
As for the crystal system: monoclinic. Its total energy is -105.74 eV per cell. Its formation energy is 0.45 eV per formula unit. Its space group is P2_1/c, No. 14.

=====

no.,size of the total moment (Bohr magnetons per cell)
1,32.2
2,16.0
3,29.4
4,8.6